Compound: CuSi2Ag
Source: Alexandria via LeMat-Bulk
Functional: PBE-GGA
Structure: optimized geometry

Geometry as POSCAR:
```
CuSi2Ag
1.0
4.8929 0.0000 0.0000
0.0000 4.8929 0.0000
0.0000 0.0000 2.5900
Cu Si Ag
1 2 1
direct
0.0000 0.5000 0.5000 Cu
0.5000 0.5000 0.0000 Si
0.0000 0.0000 0.0000 Si
0.5000 0.0000 0.5000 Ag
```

Calculated values
N(E_F) in states/eV/atom: 0.27
Energy in eV per cell: -16.14
Energy above the most stable polymorph in this dataset in meV/atom: 201
Density in g cm⁻³: 6.1
Formation energy without anion corrections in eV per atom: 0.412

---

Compound: CuSi2Ag
Source: Alexandria via LeMat-Bulk
Functional: PBE-GGA
Structure: optimized geometry

Geometry as POSCAR:
```
CuSi2Ag
1.0
-2.7918 -0.6065 4.7548
-0.1591 -4.8875 2.6188
2.6987 4.4444 -1.9325
Si Cu Ag
2 1 1
direct
0.5286 0.5286 0.0000 Si
0.9714 0.9714 0.0000 Si
0.7500 0.2500 0.5000 Cu
0.2500 0.7500 0.5000 Ag
```

Calculated values
N(E_F) in states/eV/atom: 0.28
Energy in eV per cell: -16.47
Energy above the most stable polymorph in this dataset in meV/atom: 120
Density in g cm⁻³: 6.2
Formation energy without anion corrections in eV per atom: 0.331

---

Compound: CuSi2Ag
Source: Alexandria via LeMat-Bulk
Functional: PBE-GGA
Structure: optimized geometry

Geometry as POSCAR:
```
CuSi2Ag
1.0
4.8923 0.0196 0.0000
1.8355 4.5350 0.0000
-3.3639 -2.2773 2.7264
Ag Cu Si
1 1 2
direct
0.2500 0.7500 0.5000 Ag
0.7500 0.2500 0.5000 Cu
0.5000 0.5000 0.0000 Si
0.0000 0.0000 0.0000 Si
```

Calculated values
N(E_F) in states/eV/atom: 0.35
Energy in eV per cell: -16.42
Energy above the most stable polymorph in this dataset in meV/atom: 133
Density in g cm⁻³: 6.3
Formation energy without anion corrections in eV per atom: 0.344